5
Lattice="5.425 0.000 0.000 0.000 5.425 0.000 0.000 0.000 5.306" Properties=species:S:1:pos:R:3 comment="YMgSe2Br PBEsol relaxed" vol_a3_per_atom=31.2 raw_formation_energy_ev_per_fu=-4.21 total_magnetization_mub_per_fu=0.00 mass_density_g_cm3=3.7 e_tot_ev_per_cell=-22.32 pbc="T T T"
Y 0.000 0.000 0.000
Mg 2.713 2.713 2.653
Se 0.000 2.713 0.000
Se 2.713 0.000 0.000
Br 0.000 0.000 2.653